Computed, not measured: a relaxed SnPb2S crystal at the PBE-GGA level of DFT.

a = 6.4228 Å, b = 6.4228 Å, c = 8.6707 Å
α = 68.26°, β = 68.26°, γ = 90.00°
Fractional positions:
S 0.5000 0.5000 0.0000
Pb 0.3750 0.4038 0.7500
S 0.2500 0.7500 0.5000
Pb 0.8750 0.8462 0.7500
Sn 0.0000 0.0000 0.0000
Sn 0.7500 0.2500 0.5000
Pb 0.1538 0.6250 0.2500
Pb 0.5962 0.1250 0.2500

Total DFT energy (no corrections) ... -3.796 eV per atom
Space group ... No. 122
Formation energy from raw total energies ... 0.36 eV/f.u.

***

Computed, not measured: a relaxed Sn3Pb2S8 crystal at the PBE-GGA level of DFT.

a = 6.6378 Å, b = 7.5959 Å, c = 8.1351 Å
α = 117.83°, β = 106.35°, γ = 90.00°
Fractional positions:
S 0.3947 0.3372 0.2149
Sn 0.0000 0.7415 0.0000
Pb 0.6586 0.7246 0.4491
S 0.3947 0.8777 0.2149
Sn 0.0000 0.2585 0.0000
Sn 0.5000 0.0000 0.0000
S 0.6053 0.1223 0.7851
S 0.0331 0.3830 0.7660
S 0.0959 0.8962 0.7923
Pb 0.3414 0.2754 0.5509
S 0.9041 0.1038 0.2077
S 0.6053 0.6628 0.7851
S 0.9669 0.6170 0.2340

Total DFT energy (no corrections) ... -4.416 eV per atom
Space group ... No. 12
Formation energy from raw total energies ... -4.96 eV/f.u.

***

Computed, not measured: a relaxed Sn2PbS3 crystal at the PBE-GGA level of DFT.

a = 7.2481 Å, b = 7.5327 Å, c = 7.5327 Å
α = 54.01°, β = 90.00°, γ = 90.00°
Fractional positions:
S 0.2500 0.4765 0.1063
S 0.2500 0.8937 0.5235
Sn 0.5000 0.8328 0.8328
Pb 0.7500 0.4306 0.5694
S 0.7500 0.1063 0.4765
Sn 0.0000 0.8328 0.8328
S 0.7500 0.5235 0.8937
Sn 0.0000 0.1672 0.1672
Pb 0.2500 0.5694 0.4306
S 0.2500 0.9829 0.0171
S 0.7500 0.0171 0.9829
Sn 0.5000 0.1672 0.1672

Total DFT energy (no corrections) ... -4.291 eV per atom
Space group ... No. 63
Formation energy from raw total energies ... -1.65 eV/f.u.

***

Computed, not measured: a relaxed SnPb2S crystal at the PBE-GGA level of DFT.

a = 3.6224 Å, b = 3.6224 Å, c = 10.7397 Å
α = 80.29°, β = 80.29°, γ = 60.00°
Fractional positions:
Pb 0.1043 0.1043 0.6872
Sn 0.0000 0.0000 0.0000
S 0.5000 0.5000 0.5000
Pb 0.8957 0.8957 0.3128

Total DFT energy (no corrections) ... -3.846 eV per atom
Space group ... No. 166
Formation energy from raw total energies ... 0.16 eV/f.u.

***

Computed, not measured: a relaxed Sn2PbS4 crystal at the PBE-GGA level of DFT.

a = 3.9471 Å, b = 6.7239 Å, c = 13.4904 Å
α = 90.00°, β = 90.00°, γ = 107.07°
Fractional positions:
Pb 0.4039 0.8077 0.2500
S 0.5000 0.0000 0.0000
S 0.2339 0.4677 0.6128
S 0.9413 0.8827 0.7500
Sn 0.8653 0.7306 0.9371
Sn 0.8653 0.7306 0.5629
Sn 0.1347 0.2694 0.0629
S 0.7661 0.5323 0.3872
Sn 0.1347 0.2694 0.4371
S 0.7661 0.5323 0.1128
Pb 0.5961 0.1923 0.7500
S 0.5000 0.0000 0.5000
S 0.2339 0.4677 0.8872
S 0.0587 0.1173 0.2500

Total DFT energy (no corrections) ... -4.434 eV per atom
Space group ... No. 63
Formation energy from raw total energies ... -2.81 eV/f.u.

***

Computed, not measured: a relaxed Sn3PbS4 crystal at the PBE-GGA level of DFT.

a = 4.1228 Å, b = 8.3335 Å, c = 6.3719 Å
α = 68.64°, β = 90.00°, γ = 90.00°
Fractional positions:
S 0.0000 0.3104 0.2399
Sn 0.5000 0.0307 0.4733
Pb 0.4999 0.5280 0.9577
Sn 0.0000 0.4772 0.5120
S 0.4999 0.6793 0.2797
Sn 0.0000 0.9765 0.0252
S 0.5000 0.1768 0.7791
S 0.9999 0.8221 0.7328

Total DFT energy (no corrections) ... -4.479 eV per atom
Space group ... No. 6
Formation energy from raw total energies ... -3.60 eV/f.u.

***

Computed, not measured: a relaxed Sn3PbS4 crystal at the PBE-GGA level of DFT.

a = 5.9032 Å, b = 11.3936 Å, c = 7.7426 Å
α = 90.00°, β = 90.00°, γ = 90.00°
Fractional positions:
Sn 0.5431 0.3426 0.2530
Sn 0.5463 0.8436 0.0000
Sn 0.5431 0.3426 0.7470
Pb 0.0587 0.1460 0.0000
S 0.0831 0.3104 0.2553
Sn 0.0463 0.1564 0.5000
Sn 0.0431 0.6574 0.7530
S 0.5831 0.6896 0.7553
Pb 0.5587 0.8540 0.5000
Sn 0.0431 0.6574 0.2470
S 0.5831 0.6896 0.2447
S 0.5744 0.1902 0.0000
S 0.0831 0.3104 0.7447
S 0.5836 0.1840 0.5000
S 0.0836 0.8160 0.0000
S 0.0744 0.8098 0.5000

Total DFT energy (no corrections) ... -4.426 eV per atom
Space group ... No. 31
Formation energy from raw total energies ... -3.18 eV/f.u.

***

Computed, not measured: a relaxed Sn2PbS2 crystal at the PBE-GGA level of DFT.

a = 8.3141 Å, b = 8.3141 Å, c = 3.8852 Å
α = 90.00°, β = 90.00°, γ = 90.00°
Fractional positions:
S 0.1973 0.6973 0.5000
S 0.8027 0.3027 0.5000
Sn 0.6491 0.1491 0.0000
Pb 0.0000 0.0000 0.0000
S 0.3027 0.1973 0.5000
Sn 0.8509 0.6491 0.0000
Sn 0.1491 0.3509 0.0000
S 0.6973 0.8027 0.5000
Sn 0.3509 0.8509 0.0000
Pb 0.5000 0.5000 0.0000

Total DFT energy (no corrections) ... -4.059 eV per atom
Space group ... No. 127
Formation energy from raw total energies ... -0.32 eV/f.u.

***

Question: Which formula does entry 2 have?
Answer: Sn3Pb2S8

***

Question: Among the records above, which one has the lowest total DFT energy (no corrections)?
Answer: number 6

***

Question: The highest formation energy from raw total energies belongs to which entry?
Answer: number 1